Record 1
NpVFe2 GGA-PBE relaxed; D(E_F) = 5.77 states/eV/cell; magnetic moment = 1.739 μB per cell; density = 12.07 g/cm3; E_form = 52.4 meV/atom; total DFT energy (no corrections) = -38.78 eV/cell; symmetry = No. 123
1.0
2.837 0.000 0.000
0.000 2.837 0.000
0.000 0.000 6.833
Np V Fe
1 1 2
direct
0.000 0.000 0.000
0.000 0.000 0.500
0.500 0.500 0.296
0.500 0.500 0.704

Record 2
NpV2Fe GGA-PBE relaxed; ΔE to the lowest computed polymorph = 0.164 eV per atom; D(E_F) = 6.85 states/eV/cell; magnetic moment = 3.597 μB per cell; density = 11.48 g/cm3; E_form = 274.4 meV/atom; total DFT energy (no corrections) = -38.54 eV/cell; symmetry = No. 123
1.0
4.415 0.000 0.000
0.000 4.415 0.000
0.000 0.000 2.930
Np V Fe
1 2 1
direct
0.000 0.000 0.000
0.000 0.500 0.500
0.500 0.000 0.500
0.500 0.500 0.000

Record 3
NpV2Fe GGA-PBE relaxed; ΔE to the lowest computed polymorph = 0.000 eV per atom; D(E_F) = 4.75 states/eV/cell; magnetic moment = 0.000 μB per cell; density = 11.73 g/cm3; E_form = 110.1 meV/atom; total DFT energy (no corrections) = -39.20 eV/cell; symmetry = No. 123
1.0
2.739 0.000 0.000
0.000 2.739 0.000
0.000 0.000 7.448
Np V Fe
1 2 1
direct
0.000 0.000 0.000
0.500 0.500 0.296
0.500 0.500 0.704
0.000 0.000 0.500

Record 4
NpVFe GGA-PBE relaxed; ΔE to the lowest computed polymorph = 0.000 eV per atom; D(E_F) = 8.98 states/eV/cell; magnetic moment = 0.001 μB per cell; density = 13.52 g/cm3; E_form = 96.4 meV/atom; total DFT energy (no corrections) = -60.47 eV/cell; symmetry = No. 2
1.0
2.673 0.000 0.000
-0.365 5.178 0.000
-1.009 -1.223 6.103
Np V Fe
2 2 2
direct
0.060 0.441 0.183
0.940 0.559 0.817
0.189 0.028 0.811
0.811 0.972 0.189
0.472 0.755 0.471
0.528 0.245 0.529